Here is a relaxed structure of Ca3Cu from the Alexandria database. Energies are from PBE.

a b c (Å): 6.9156 6.9156 6.9156
angles (deg): 148.58 130.87 59.49
With the nearest neighbours (Å) after each atom.
Sites, in units of the cell vectors:
Ca 0.0000 0.0000 0.0000  4 Cu 3.43, 6 Ca 3.67-3.74
Ca 0.3102 0.8102 0.5000  2 Cu 2.95
Ca 0.6898 0.1898 0.5000  2 Cu 2.95
Cu 0.5000 0.5000 0.0000  4 Ca 2.95

Properties
DOS(E_F): 4.53 states/eV/cell
Volume: 32.3 Å³ per atom
DFT formation energy: 0.0220 eV per atom
Total magnetic moment: 0.0 μB/cell

Here is a relaxed structure of Ca3Cu from the Alexandria database. Energies are from PBE.

a b c (Å): 5.5754 5.5754 5.5754
angles (deg): 60.00 60.00 60.00
With the nearest neighbours (Å) after each atom.
Sites, in units of the cell vectors:
Ca 0.0000 0.0000 0.0000  8 Ca 3.41
Ca 0.2500 0.2500 0.2500  4 Ca 3.41, 4 Cu 3.41
Ca 0.7500 0.7500 0.7500  4 Ca 3.41, 4 Cu 3.41
Cu 0.5000 0.5000 0.5000  8 Ca 3.41

Properties
DOS(E_F): 4.99 states/eV/cell
Volume: 30.6 Å³ per atom
DFT formation energy: 0.2069 eV per atom
Total magnetic moment: 0.0 μB/cell

- Look up the volume of the second one.
  30.6 Å³ per atom

- Number 2 is which compound?
  Ca3Cu